Record 1
# NaAgBrO4 PBE relaxed
data_NaAgBrO4
_chemical_formula_sum 'Na2 Ag2 Br2 O8'
_symmetry_space_group_name_H-M 'P 1'
_symmetry_Int_Tables_number 1
_cell_length_a 6.692
_cell_length_b 6.692
_cell_length_c 6.692
_cell_angle_alpha 122.75
_cell_angle_beta 117.70
_cell_angle_gamma 89.67
loop_
_symmetry_equiv_pos_as_xyz
'x,y,z'
loop_
_atom_site_label
_atom_site_fract_x
_atom_site_fract_y
_atom_site_fract_z
Na1 0.000 0.000 0.000
Na2 0.500 0.000 0.500
Ag1 0.500 0.000 0.000
Ag2 0.500 0.500 0.500
Br1 0.070 0.320 0.750
Br2 0.930 0.680 0.250
O1 0.175 0.212 0.538
O2 0.175 0.637 0.962
O3 0.298 0.249 0.050
O4 0.301 0.751 0.550
O5 0.699 0.249 0.450
O6 0.702 0.751 0.950
O7 0.825 0.363 0.038
O8 0.825 0.788 0.462
# Raw formation energy: -0.251 eV/atom
# Calculated density: 4.331 Mg/m³
# Total magnetic moment: 0.00 Bohr magnetons per cell
# SG: No. 74

Record 2
# Nd2SiOsC PBE relaxed
data_Nd2SiOsC
_chemical_formula_sum 'Nd4 Si2 Os2 C2'
_symmetry_space_group_name_H-M 'P 1'
_symmetry_Int_Tables_number 1
_cell_length_a 6.385
_cell_length_b 4.130
_cell_length_c 8.766
_cell_angle_alpha 90.00
_cell_angle_beta 109.75
_cell_angle_gamma 90.00
loop_
_symmetry_equiv_pos_as_xyz
'x,y,z'
loop_
_atom_site_label
_atom_site_fract_x
_atom_site_fract_y
_atom_site_fract_z
Nd1 0.208 0.250 0.388
Nd2 0.227 0.250 0.971
Nd3 0.773 0.750 0.029
Nd4 0.792 0.750 0.612
Si1 0.308 0.750 0.698
Si2 0.692 0.250 0.302
Os1 0.499 0.750 0.255
Os2 0.501 0.250 0.745
C1 0.188 0.750 0.174
C2 0.812 0.250 0.826
# Raw formation energy: -0.365 eV/atom
# Calculated density: 7.920 Mg/m³
# Total magnetic moment: 0.00 Bohr magnetons per cell
# SG: No. 11